No. 1
Computed, not measured: a relaxed structure of Pr2Ga6Pd9 at the GGA-PBE level of DFT.

The structure in POSCAR format:
```
Pr2Ga6Pd9
1.0
5.6360 0.0000 0.0000
-2.8180 4.8809 0.0000
0.0000 0.0000 11.9414
Pr Ga Pd
2 6 9
direct
0.0000 0.0000 0.1936
0.0000 0.0000 0.8064
0.3333 0.6667 0.1642
0.3333 0.6667 0.5000
0.3333 0.6667 0.8358
0.6667 0.3333 0.1642
0.6667 0.3333 0.5000
0.6667 0.3333 0.8358
0.0000 0.5000 0.0000
0.0000 0.5000 0.3322
0.0000 0.5000 0.6678
0.5000 0.0000 0.0000
0.5000 0.0000 0.3322
0.5000 0.0000 0.6678
0.5000 0.5000 0.0000
0.5000 0.5000 0.3322
0.5000 0.5000 0.6678
```

Space group: P6/mmm, No. 191
Total DFT energy (no corrections) in eV/atom: -5.05
DOS at the Fermi energy in states/eV/cell: 8.8

---

No. 2
Computed, not measured: a relaxed structure of AcNdYPb at the GGA-PBE level of DFT.

The structure in POSCAR format:
```
AcNdYPb
1.0
8.0367 0.0000 0.0000
0.0000 8.0367 0.0000
0.0000 0.0000 8.0367
Ac Nd Y Pb
4 4 4 4
direct
0.0000 0.0000 0.0000
0.0000 0.5000 0.5000
0.5000 0.0000 0.5000
0.5000 0.5000 0.0000
0.2500 0.2500 0.7500
0.2500 0.7500 0.2500
0.7500 0.2500 0.2500
0.7500 0.7500 0.7500
0.2500 0.2500 0.2500
0.2500 0.7500 0.7500
0.7500 0.2500 0.7500
0.7500 0.7500 0.2500
0.0000 0.0000 0.5000
0.0000 0.5000 0.0000
0.5000 0.0000 0.0000
0.5000 0.5000 0.5000
```

Space group: F-43m, No. 216
Total DFT energy (no corrections) in eV/atom: -4.86
DOS at the Fermi energy in states/eV/cell: 26.9

---

No. 3
Computed, not measured: a relaxed structure of Dy3HoErTm at the GGA-PBE level of DFT.

The structure in POSCAR format:
```
Dy3HoErTm
1.0
9.8499 -2.8188 0.0000
9.8499 2.8188 0.0000
-0.0058 0.0000 6.7873
Dy Ho Er Tm
6 2 2 2
direct
0.0196 0.0196 0.2491
0.2808 0.2808 0.2499
0.3386 0.3386 0.7517
0.6614 0.6614 0.2483
0.7192 0.7192 0.7501
0.9804 0.9804 0.7509
0.1468 0.1468 0.5286
0.8532 0.8532 0.4714
0.1470 0.1470 0.9702
0.8530 0.8530 0.0298
0.4432 0.4432 0.2476
0.5568 0.5568 0.7524
```

Space group: C2/m, No. 12
Total DFT energy (no corrections) in eV/atom: -4.35
DOS at the Fermi energy in states/eV/cell: 18.6

---

No. 4
Computed, not measured: a relaxed structure of CeSmTl at the GGA-PBE level of DFT.

The structure in POSCAR format:
```
CeSmTl
1.0
3.5697 0.0000 0.0000
0.0000 3.5697 0.0000
0.0000 0.0000 14.3890
Ce Sm Tl
2 2 2
direct
0.0000 0.0000 0.0000
0.5000 0.5000 0.5000
0.0000 0.0000 0.6875
0.5000 0.5000 0.1875
0.0000 0.0000 0.3421
0.5000 0.5000 0.8421
```

Space group: I4mm, No. 107
Total DFT energy (no corrections) in eV/atom: -4.45
DOS at the Fermi energy in states/eV/cell: 13.6

---

No. 5
Computed, not measured: a relaxed structure of Zr3TlGe at the GGA-PBE level of DFT.

The structure in POSCAR format:
```
Zr3TlGe
1.0
5.3077 0.0000 0.0000
0.0000 5.3077 0.0000
0.0000 0.0000 5.3077
Zr Tl Ge
3 1 1
direct
0.0000 0.0000 0.5000
0.0000 0.5000 0.0000
0.5000 0.0000 0.0000
0.0000 0.0000 0.0000
0.5000 0.5000 0.5000
```

Space group: Pm-3m, No. 221
Total DFT energy (no corrections) in eV/atom: -5.40
DOS at the Fermi energy in states/eV/cell: 4.6

---

No. 6
Computed, not measured: a relaxed structure of BaHf2Fe at the GGA-PBE level of DFT.

The structure in POSCAR format:
```
BaHf2Fe
1.0
7.0341 0.0000 0.0000
0.0000 7.0341 0.0000
0.0000 0.0000 11.2934
Ba Hf Fe
4 8 4
direct
0.0000 0.2500 0.3750
0.0000 0.7500 0.6250
0.5000 0.2500 0.1250
0.5000 0.7500 0.8750
0.0000 0.0000 0.0000
0.0000 0.5000 0.0000
0.2500 0.2500 0.7500
0.2500 0.7500 0.2500
0.5000 0.0000 0.5000
0.5000 0.5000 0.5000
0.7500 0.2500 0.7500
0.7500 0.7500 0.2500
0.0000 0.2500 0.8750
0.0000 0.7500 0.1250
0.5000 0.2500 0.6250
0.5000 0.7500 0.3750
```

Space group: I4_1/amd, No. 141
Total DFT energy (no corrections) in eV/atom: -6.64
DOS at the Fermi energy in states/eV/cell: 25.3

---

No. 7
Computed, not measured: a relaxed structure of CsKNa2H at the GGA-PBE level of DFT.

The structure in POSCAR format:
```
CsKNa2H
1.0
6.7917 0.0000 0.0000
0.0000 6.7917 0.0000
0.0000 0.0000 5.1229
Cs K Na H
1 1 2 1
direct
0.0000 0.0000 0.0000
0.5000 0.5000 0.0000
0.0000 0.5000 0.5000
0.5000 0.0000 0.5000
0.5000 0.5000 0.5000
```

Space group: P4/mmm, No. 123
Total DFT energy (no corrections) in eV/atom: -1.42
DOS at the Fermi energy in states/eV/cell: 4.1

---

No. 8
Computed, not measured: a relaxed structure of FeAgOs2 at the GGA-PBE level of DFT.

The structure in POSCAR format:
```
FeAgOs2
1.0
2.8233 0.0000 0.0000
0.0000 4.5871 0.0000
0.0000 0.0000 9.1333
Fe Ag Os
2 2 4
direct
0.0000 0.0000 0.0000
0.5000 0.5000 0.5000
0.0000 0.5000 0.2445
0.5000 0.0000 0.7445
0.0000 0.0000 0.4727
0.0000 0.5000 0.7373
0.5000 0.0000 0.2373
0.5000 0.5000 0.9727
```

Space group: Imm2, No. 44
Total DFT energy (no corrections) in eV/atom: -7.77
DOS at the Fermi energy in states/eV/cell: 8.1

---

no.,spin magnetization (μB per formula unit)
1,0.00
2,0.00
3,0.00
4,1.25
5,1.45
6,0.00
7,0.00
8,2.80